[1]
A plane-wave DFT calculation with PBE was carried out for a geometry-optimized ScSb2PW structure.

ΔE_f (raw) = 0.736 eV per atom
spin magnetization = 0.059 μB/f.u.

CIF file:
```
data_ScSb2PW
_cell_length_a 5.128
_cell_length_b 5.128
_cell_length_c 5.141
_cell_angle_alpha 90.00
_cell_angle_beta 90.00
_cell_angle_gamma 90.00
_space_group_name_H-M_alt 'P 1'
_space_group_IT_number 1
_space_group_name_Hall 'P 1'
loop_
_atom_site_label
_atom_site_fract_x
_atom_site_fract_y
_atom_site_fract_z
Sc1 0.000 0.000 0.000
Sb1 0.000 0.500 0.500
Sb2 0.500 0.000 0.500
P1 0.500 0.500 0.000
W1 0.000 0.000 0.500
```

=====

[2]
A plane-wave DFT calculation with PBE was carried out for a geometry-optimized KTl2Cd structure.

ΔH_f (0 K) = -0.09 eV per atom
spin magnetization = 0.000 μB/f.u.

CIF file:
```
data_KTl2Cd
_cell_length_a 6.662
_cell_length_b 5.150
_cell_length_c 8.374
_cell_angle_alpha 90.00
_cell_angle_beta 111.46
_cell_angle_gamma 90.00
_space_group_name_H-M_alt 'P 1'
_space_group_IT_number 1
_space_group_name_Hall 'P 1'
loop_
_atom_site_label
_atom_site_fract_x
_atom_site_fract_y
_atom_site_fract_z
K1 0.208 0.250 0.419
K2 0.792 0.750 0.581
Tl1 0.139 0.250 0.888
Tl2 0.385 0.750 0.774
Tl3 0.615 0.250 0.226
Tl4 0.861 0.750 0.112
Cd1 0.336 0.750 0.139
Cd2 0.664 0.250 0.861
```

=====

[3]
A plane-wave DFT calculation with PBE was carried out for a geometry-optimized CrWBr2 structure.

ΔE_f (raw) = 0.982 eV per atom
spin magnetization = 1.856 μB/f.u.
offset from the most stable computed form = 78.5 kJ per mole of atoms

CIF file:
```
data_CrWBr2
_cell_length_a 3.108
_cell_length_b 4.442
_cell_length_c 5.897
_cell_angle_alpha 90.00
_cell_angle_beta 90.00
_cell_angle_gamma 90.00
_space_group_name_H-M_alt 'P 1'
_space_group_IT_number 1
_space_group_name_Hall 'P 1'
loop_
_atom_site_label
_atom_site_fract_x
_atom_site_fract_y
_atom_site_fract_z
Cr1 0.000 0.000 0.000
W1 0.500 0.000 0.500
Br1 0.000 0.500 0.500
Br2 0.500 0.500 0.000
```

=====

[4]
A plane-wave DFT calculation with PBE was carried out for a geometry-optimized Zn2Ag structure.

ΔH_f (0 K) = 0.04 eV per atom
spin magnetization = 0.000 μB/f.u.

CIF file:
```
data_Zn2Ag
_cell_length_a 9.195
_cell_length_b 9.195
_cell_length_c 9.195
_cell_angle_alpha 162.53
_cell_angle_beta 153.79
_cell_angle_gamma 31.68
_space_group_name_H-M_alt 'P 1'
_space_group_IT_number 1
_space_group_name_Hall 'P 1'
loop_
_atom_site_label
_atom_site_fract_x
_atom_site_fract_y
_atom_site_fract_z
Zn1 0.292 0.042 0.250
Zn2 0.440 0.190 0.250
Zn3 0.560 0.810 0.750
Zn4 0.708 0.958 0.750
Ag1 0.140 0.390 0.750
Ag2 0.860 0.610 0.250
```

=====

[5]
A plane-wave DFT calculation with PBE was carried out for a geometry-optimized Ag3Br structure.

ΔE_f (raw) = 0.047 eV per atom
spin magnetization = 0.000 μB/f.u.
offset from the most stable computed form = 6.2 kJ per mole of atoms

CIF file:
```
data_Ag3Br
_cell_length_a 3.909
_cell_length_b 3.968
_cell_length_c 5.835
_cell_angle_alpha 90.00
_cell_angle_beta 90.00
_cell_angle_gamma 90.00
_space_group_name_H-M_alt 'P 1'
_space_group_IT_number 1
_space_group_name_Hall 'P 1'
loop_
_atom_site_label
_atom_site_fract_x
_atom_site_fract_y
_atom_site_fract_z
Ag1 0.000 0.000 0.000
Ag2 0.000 0.500 0.348
Ag3 0.500 0.500 0.992
Br1 0.500 0.000 0.591
```

=====

[6]
A plane-wave DFT calculation with PBE was carried out for a geometry-optimized Sr2InCu2Pt5 structure.

ΔH_f (0 K) = -0.56 eV per atom
spin magnetization = 0.000 μB/f.u.

CIF file:
```
data_Sr2InCu2Pt5
_cell_length_a 9.675
_cell_length_b 9.675
_cell_length_c 3.978
_cell_angle_alpha 90.00
_cell_angle_beta 90.00
_cell_angle_gamma 90.00
_space_group_name_H-M_alt 'P 1'
_space_group_IT_number 1
_space_group_name_Hall 'P 1'
loop_
_atom_site_label
_atom_site_fract_x
_atom_site_fract_y
_atom_site_fract_z
Sr1 0.178 0.322 0.000
Sr2 0.322 0.822 0.000
Sr3 0.678 0.178 0.000
Sr4 0.822 0.678 0.000
In1 0.000 0.000 0.000
In2 0.500 0.500 0.000
Cu1 0.120 0.620 0.000
Cu2 0.380 0.120 0.000
Cu3 0.620 0.880 0.000
Cu4 0.880 0.380 0.000
Pt1 0.000 0.500 0.500
Pt2 0.063 0.788 0.500
Pt3 0.212 0.063 0.500
Pt4 0.288 0.563 0.500
Pt5 0.437 0.288 0.500
Pt6 0.500 0.000 0.500
Pt7 0.563 0.712 0.500
Pt8 0.712 0.437 0.500
Pt9 0.788 0.937 0.500
Pt10 0.937 0.212 0.500
```

=====

[7]
A plane-wave DFT calculation with PBE was carried out for a geometry-optimized Rb3Pr3RhO8 structure.

ΔE_f (raw) = -2.119 eV per atom
spin magnetization = 1.067 μB/f.u.

CIF file:
```
data_Rb3Pr3RhO8
_cell_length_a 7.784
_cell_length_b 7.784
_cell_length_c 7.784
_cell_angle_alpha 54.40
_cell_angle_beta 54.40
_cell_angle_gamma 54.40
_space_group_name_H-M_alt 'P 1'
_space_group_IT_number 1
_space_group_name_Hall 'P 1'
loop_
_atom_site_label
_atom_site_fract_x
_atom_site_fract_y
_atom_site_fract_z
Rb1 0.000 0.500 0.500
Rb2 0.500 0.000 0.500
Rb3 0.500 0.500 0.000
Pr1 0.000 0.000 0.500
Pr2 0.000 0.500 0.000
Pr3 0.500 0.000 0.000
Rh1 0.500 0.500 0.500
O1 0.227 0.227 0.227
O2 0.259 0.704 0.704
O3 0.296 0.296 0.741
O4 0.296 0.741 0.296
O5 0.704 0.259 0.704
O6 0.704 0.704 0.259
O7 0.741 0.296 0.296
O8 0.773 0.773 0.773
```

=====

[8]
A plane-wave DFT calculation with PBE was carried out for a geometry-optimized Dy5SbS4 structure.

ΔE_f (raw) = -1.765 eV per atom
spin magnetization = 0.000 μB/f.u.

CIF file:
```
data_Dy5SbS4
_cell_length_a 10.598
_cell_length_b 10.598
_cell_length_c 10.598
_cell_angle_alpha 158.21
_cell_angle_beta 148.83
_cell_angle_gamma 38.35
_space_group_name_H-M_alt 'P 1'
_space_group_IT_number 1
_space_group_name_Hall 'P 1'
loop_
_atom_site_label
_atom_site_fract_x
_atom_site_fract_y
_atom_site_fract_z
Dy1 0.000 0.000 0.000
Dy2 0.199 0.199 0.000
Dy3 0.389 0.389 0.000
Dy4 0.611 0.611 0.000
Dy5 0.801 0.801 0.000
Sb1 0.500 0.000 0.500
S1 0.102 0.602 0.500
S2 0.295 0.795 0.500
S3 0.705 0.205 0.500
S4 0.898 0.398 0.500
```

=====

[9]
A plane-wave DFT calculation with PBE was carried out for a geometry-optimized Tb6Er3Tm2Pb structure.

ΔH_f (0 K) = -0.04 eV per atom
spin magnetization = 0.000 μB/f.u.

CIF file:
```
data_Tb6Er3Tm2Pb
_cell_length_a 6.087
_cell_length_b 6.087
_cell_length_c 11.622
_cell_angle_alpha 95.03
_cell_angle_beta 95.03
_cell_angle_gamma 120.02
_space_group_name_H-M_alt 'P 1'
_space_group_IT_number 1
_space_group_name_Hall 'P 1'
loop_
_atom_site_label
_atom_site_fract_x
_atom_site_fract_y
_atom_site_fract_z
Tb1 0.083 0.413 0.749
Tb2 0.247 0.247 0.250
Tb3 0.413 0.083 0.749
Tb4 0.587 0.917 0.251
Tb5 0.753 0.753 0.750
Tb6 0.917 0.587 0.251
Er1 0.168 0.832 0.000
Er2 0.500 0.500 0.000
Er3 0.832 0.168 0.000
Tm1 0.334 0.666 0.500
Tm2 0.666 0.334 0.500
Pb1 0.000 0.000 0.500
```

=====

[10]
A plane-wave DFT calculation with PBE was carried out for a geometry-optimized PdSeSN2 structure.

ΔE_f (raw) = 1.345 eV per atom
spin magnetization = 0.090 μB/f.u.
offset from the most stable computed form = 0.0 kJ per mole of atoms

CIF file:
```
data_PdSeSN2
_cell_length_a 3.454
_cell_length_b 3.454
_cell_length_c 7.281
_cell_angle_alpha 90.00
_cell_angle_beta 90.00
_cell_angle_gamma 90.00
_space_group_name_H-M_alt 'P 1'
_space_group_IT_number 1
_space_group_name_Hall 'P 1'
loop_
_atom_site_label
_atom_site_fract_x
_atom_site_fract_y
_atom_site_fract_z
Pd1 0.000 0.000 0.000
Se1 0.500 0.500 0.000
S1 0.500 0.500 0.500
N1 0.000 0.500 0.500
N2 0.500 0.000 0.500
```

=====

[11]
A plane-wave DFT calculation with PBE was carried out for a geometry-optimized Sr2TlRh structure.

ΔH_f (0 K) = -0.28 eV per atom
spin magnetization = 0.000 μB/f.u.
offset from the most stable computed form = 1.4 kJ per mole of atoms

CIF file:
```
data_Sr2TlRh
_cell_length_a 6.454
_cell_length_b 6.454
_cell_length_c 9.218
_cell_angle_alpha 110.91
_cell_angle_beta 110.91
_cell_angle_gamma 49.24
_space_group_name_H-M_alt 'P 1'
_space_group_IT_number 1
_space_group_name_Hall 'P 1'
loop_
_atom_site_label
_atom_site_fract_x
_atom_site_fract_y
_atom_site_fract_z
Sr1 0.167 0.168 0.084
Sr2 0.168 0.167 0.584
Sr3 0.832 0.833 0.416
Sr4 0.833 0.832 0.916
Tl1 0.499 0.501 0.750
Tl2 0.501 0.499 0.250
Rh1 0.001 0.999 0.250
Rh2 0.999 0.001 0.750
```

=====

[12]
A plane-wave DFT calculation with PBE was carried out for a geometry-optimized MgZrCdAu2 structure.

ΔH_f (0 K) = 0.57 eV per atom
spin magnetization = 0.000 μB/f.u.

CIF file:
```
data_MgZrCdAu2
_cell_length_a 5.246
_cell_length_b 5.246
_cell_length_c 5.563
_cell_angle_alpha 90.00
_cell_angle_beta 90.00
_cell_angle_gamma 90.00
_space_group_name_H-M_alt 'P 1'
_space_group_IT_number 1
_space_group_name_Hall 'P 1'
loop_
_atom_site_label
_atom_site_fract_x
_atom_site_fract_y
_atom_site_fract_z
Mg1 0.000 0.000 0.000
Zr1 0.500 0.500 0.500
Cd1 0.500 0.500 0.000
Au1 0.000 0.500 0.500
Au2 0.500 0.000 0.500
```

=====

[13]
A plane-wave DFT calculation with PBE was carried out for a geometry-optimized AgCSe2 structure.

ΔE_f (raw) = 1.149 eV per atom
spin magnetization = 0.000 μB/f.u.

CIF file:
```
data_AgCSe2
_cell_length_a 8.203
_cell_length_b 8.203
_cell_length_c 8.203
_cell_angle_alpha 22.63
_cell_angle_beta 22.63
_cell_angle_gamma 22.63
_space_group_name_H-M_alt 'P 1'
_space_group_IT_number 1
_space_group_name_Hall 'P 1'
loop_
_atom_site_label
_atom_site_fract_x
_atom_site_fract_y
_atom_site_fract_z
Ag1 0.000 0.000 0.000
C1 0.500 0.500 0.500
Se1 0.109 0.109 0.109
Se2 0.891 0.891 0.891
```

=====

[14]
A plane-wave DFT calculation with PBE was carried out for a geometry-optimized NaAsSBr2 structure.

ΔE_f (raw) = -0.017 eV per atom
spin magnetization = 0.084 μB/f.u.
offset from the most stable computed form = 0.0 kJ per mole of atoms

CIF file:
```
data_NaAsSBr2
_cell_length_a 5.704
_cell_length_b 5.704
_cell_length_c 4.692
_cell_angle_alpha 90.00
_cell_angle_beta 90.00
_cell_angle_gamma 90.00
_space_group_name_H-M_alt 'P 1'
_space_group_IT_number 1
_space_group_name_Hall 'P 1'
loop_
_atom_site_label
_atom_site_fract_x
_atom_site_fract_y
_atom_site_fract_z
Na1 0.000 0.000 0.000
As1 0.500 0.500 0.000
S1 0.500 0.500 0.500
Br1 0.000 0.500 0.500
Br2 0.500 0.000 0.500
```

=====

[15]
A plane-wave DFT calculation with PBE was carried out for a geometry-optimized NiRuC structure.

ΔH_f (0 K) = 0.33 eV per atom
spin magnetization = 0.000 μB/f.u.
offset from the most stable computed form = 0.0 kJ per mole of atoms

CIF file:
```
data_NiRuC
_cell_length_a 2.735
_cell_length_b 2.744
_cell_length_c 4.398
_cell_angle_alpha 90.00
_cell_angle_beta 108.05
_cell_angle_gamma 90.00
_space_group_name_H-M_alt 'P 1'
_space_group_IT_number 1
_space_group_name_Hall 'P 1'
loop_
_atom_site_label
_atom_site_fract_x
_atom_site_fract_y
_atom_site_fract_z
Ni1 0.000 0.000 0.000
Ru1 0.264 0.500 0.533
C1 0.666 0.000 0.334
```

=====

[16]
A plane-wave DFT calculation with PBE was carried out for a geometry-optimized SnAsOsAuCl structure.

ΔE_f (raw) = 0.034 eV per atom
spin magnetization = 0.000 μB/f.u.
offset from the most stable computed form = 0.0 kJ per mole of atoms

CIF file:
```
data_SnAsOsAuCl
_cell_length_a 3.120
_cell_length_b 4.697
_cell_length_c 7.745
_cell_angle_alpha 90.00
_cell_angle_beta 101.43
_cell_angle_gamma 90.00
_space_group_name_H-M_alt 'P 1'
_space_group_IT_number 1
_space_group_name_Hall 'P 1'
loop_
_atom_site_label
_atom_site_fract_x
_atom_site_fract_y
_atom_site_fract_z
Sn1 0.000 0.000 0.000
As1 0.268 0.000 0.545
Os1 0.651 0.000 0.305
Au1 0.154 0.500 0.313
Cl1 0.915 0.500 0.832
```

=====

[17]
A plane-wave DFT calculation with PBE was carried out for a geometry-optimized BaAg2W structure.

ΔH_f (0 K) = 0.86 eV per atom
spin magnetization = 0.000 μB/f.u.
offset from the most stable computed form = 11.4 kJ per mole of atoms

CIF file:
```
data_BaAg2W
_cell_length_a 3.024
_cell_length_b 3.968
_cell_length_c 7.801
_cell_angle_alpha 90.00
_cell_angle_beta 90.00
_cell_angle_gamma 90.00
_space_group_name_H-M_alt 'P 1'
_space_group_IT_number 1
_space_group_name_Hall 'P 1'
loop_
_atom_site_label
_atom_site_fract_x
_atom_site_fract_y
_atom_site_fract_z
Ba1 0.000 0.000 0.000
Ag1 0.000 0.000 0.483
Ag2 0.500 0.500 0.681
W1 0.500 0.500 0.316
```

=====

[18]
A plane-wave DFT calculation with PBE was carried out for a geometry-optimized K2SrSiS structure.

ΔE_f (raw) = 0.083 eV per atom
spin magnetization = 1.999 μB/f.u.

CIF file:
```
data_K2SrSiS
_cell_length_a 5.957
_cell_length_b 5.957
_cell_length_c 6.057
_cell_angle_alpha 90.00
_cell_angle_beta 90.00
_cell_angle_gamma 90.00
_space_group_name_H-M_alt 'P 1'
_space_group_IT_number 1
_space_group_name_Hall 'P 1'
loop_
_atom_site_label
_atom_site_fract_x
_atom_site_fract_y
_atom_site_fract_z
K1 0.000 0.500 0.000
K2 0.500 0.000 0.000
Sr1 0.000 0.000 0.500
Si1 0.000 0.000 0.000
S1 0.500 0.500 0.500
```

=====

[19]
A plane-wave DFT calculation with PBE was carried out for a geometry-optimized PmPr3Si2 structure.

ΔE_f (raw) = -0.458 eV per atom
spin magnetization = 0.000 μB/f.u.
offset from the most stable computed form = 0.0 kJ per mole of atoms

CIF file:
```
data_PmPr3Si2
_cell_length_a 8.928
_cell_length_b 8.928
_cell_length_c 11.705
_cell_angle_alpha 118.22
_cell_angle_beta 118.22
_cell_angle_gamma 25.17
_space_group_name_H-M_alt 'P 1'
_space_group_IT_number 1
_space_group_name_Hall 'P 1'
loop_
_atom_site_label
_atom_site_fract_x
_atom_site_fract_y
_atom_site_fract_z
Pm1 0.153 0.153 0.237
Pm2 0.847 0.847 0.763
Pr1 0.149 0.149 0.734
Pr2 0.423 0.423 0.574
Pr3 0.424 0.424 0.070
Pr4 0.576 0.576 0.930
Pr5 0.577 0.577 0.426
Pr6 0.851 0.851 0.266
Si1 0.232 0.232 0.047
Si2 0.232 0.232 0.547
Si3 0.768 0.768 0.453
Si4 0.768 0.768 0.953
```

=====

[20]
A plane-wave DFT calculation with PBE was carried out for a geometry-optimized Mn2CrNiN structure.

ΔE_f (raw) = -0.190 eV per atom
spin magnetization = 3.453 μB/f.u.

CIF file:
```
data_Mn2CrNiN
_cell_length_a 3.833
_cell_length_b 3.833
_cell_length_c 3.819
_cell_angle_alpha 90.00
_cell_angle_beta 90.00
_cell_angle_gamma 90.00
_space_group_name_H-M_alt 'P 1'
_space_group_IT_number 1
_space_group_name_Hall 'P 1'
loop_
_atom_site_label
_atom_site_fract_x
_atom_site_fract_y
_atom_site_fract_z
Mn1 0.000 0.500 0.000
Mn2 0.500 0.000 0.000
Cr1 0.000 0.000 0.500
Ni1 0.500 0.500 0.500
N1 0.000 0.000 0.000
```